Entry 1:
A relaxed structure of Na3Zr3PdS8, computed with PBE-GGA.

Lattice parameters (Å, degrees): 7.415 7.415 8.011 117.59 117.59 59.99
Sites, in units of the cell vectors:
Na: 0.000 0.000 0.000
Na: 0.000 0.500 0.000
Na: 0.500 0.000 0.000
Zr: 0.000 0.500 0.500
Zr: 0.500 0.000 0.500
Zr: 0.500 0.500 0.500
Pd: 0.000 0.000 0.500
S: 0.238 0.238 0.713
S: 0.239 0.736 0.714
S: 0.259 0.259 0.277
S: 0.264 0.761 0.286
S: 0.736 0.239 0.714
S: 0.741 0.741 0.723
S: 0.761 0.264 0.286
S: 0.762 0.762 0.287

Output
D(E_F), states/eV per atom: 0.552
Total magnetic moment, μB per atom: 0.000
Uncorrected formation energy, meV/atom: -1267.9

Entry 2:
A relaxed structure of Re3Te, computed with PBE-GGA.

Lattice parameters (Å, degrees): 2.965 3.957 5.739 90.00 90.00 90.00
Sites, in units of the cell vectors:
Re: 0.000 0.000 0.000
Re: 0.500 0.500 0.220
Re: 0.500 0.500 0.780
Te: 0.000 0.000 0.500

Output
D(E_F), states/eV per atom: 0.960
Total magnetic moment, μB per atom: 0.000
ΔE to the lowest computed polymorph, meV per atom: 207
Uncorrected formation energy, meV/atom: 742.0

Entry 3:
A relaxed structure of Ti2NiSn, computed with PBE-GGA.

Lattice parameters (Å, degrees): 3.887 3.887 4.266 90.00 90.00 90.00
Sites, in units of the cell vectors:
Ti: 0.000 0.500 0.000
Ti: 0.500 0.000 0.000
Ni: 0.000 0.000 0.500
Sn: 0.500 0.500 0.500

Output
D(E_F), states/eV per atom: 1.228
Total magnetic moment, μB per atom: 0.000
ΔE_f, meV/atom: -317

Entry 4:
A relaxed structure of TbHoLuPa, computed with PBE-GGA.

Lattice parameters (Å, degrees): 7.815 7.815 7.815 90.00 90.00 90.00
Sites, in units of the cell vectors:
Tb: 0.000 0.000 0.000
Tb: 0.000 0.500 0.500
Tb: 0.500 0.000 0.500
Tb: 0.500 0.500 0.000
Ho: 0.000 0.000 0.500
Ho: 0.000 0.500 0.000
Ho: 0.500 0.000 0.000
Ho: 0.500 0.500 0.500
Lu: 0.250 0.250 0.250
Lu: 0.250 0.750 0.750
Lu: 0.750 0.250 0.750
Lu: 0.750 0.750 0.250
Pa: 0.250 0.250 0.750
Pa: 0.250 0.750 0.250
Pa: 0.750 0.250 0.250
Pa: 0.750 0.750 0.750

Output
D(E_F), states/eV per atom: 2.472
Total magnetic moment, μB per atom: 0.722
ΔE_f, meV/atom: 352

Entry 5:
A relaxed structure of TaInFeNi, computed with PBE-GGA.

Lattice parameters (Å, degrees): 6.197 6.197 6.197 90.00 90.00 90.00
Sites, in units of the cell vectors:
Ta: 0.000 0.000 0.000
Ta: 0.000 0.500 0.500
Ta: 0.500 0.000 0.500
Ta: 0.500 0.500 0.000
In: 0.000 0.000 0.500
In: 0.000 0.500 0.000
In: 0.500 0.000 0.000
In: 0.500 0.500 0.500
Fe: 0.250 0.250 0.250
Fe: 0.250 0.750 0.750
Fe: 0.750 0.250 0.750
Fe: 0.750 0.750 0.250
Ni: 0.250 0.250 0.750
Ni: 0.250 0.750 0.250
Ni: 0.750 0.250 0.250
Ni: 0.750 0.750 0.750

Output
D(E_F), states/eV per atom: 0.647
Total magnetic moment, μB per atom: 0.418
ΔE_f, meV/atom: -37

Entry 6:
A relaxed structure of KPrPb2Br8, computed with PBE-GGA.

Lattice parameters (Å, degrees): 6.941 9.314 7.309 90.00 90.77 90.00
Sites, in units of the cell vectors:
K: 0.000 0.000 0.000
Pr: 0.000 0.500 0.000
Pb: 0.500 0.246 0.500
Pb: 0.500 0.754 0.500
Br: 0.244 0.274 0.156
Br: 0.244 0.726 0.156
Br: 0.246 0.500 0.671
Br: 0.270 0.000 0.637
Br: 0.730 0.000 0.363
Br: 0.754 0.500 0.329
Br: 0.756 0.274 0.844
Br: 0.756 0.726 0.844

Output
D(E_F), states/eV per atom: 0.000
Total magnetic moment, μB per atom: 0.000
Uncorrected formation energy, meV/atom: -1362.3

Entry 7:
A relaxed structure of Sm6Ir2AuSe3, computed with PBE-GGA.

Lattice parameters (Å, degrees): 7.124 7.124 7.598 98.99 98.99 119.95
Sites, in units of the cell vectors:
Sm: 0.067 0.422 0.768
Sm: 0.222 0.222 0.229
Sm: 0.422 0.067 0.768
Sm: 0.578 0.933 0.232
Sm: 0.778 0.778 0.771
Sm: 0.933 0.578 0.232
Ir: 0.168 0.832 0.000
Ir: 0.832 0.168 0.000
Au: 0.500 0.500 0.000
Se: 0.000 0.000 0.500
Se: 0.339 0.661 0.500
Se: 0.661 0.339 0.500

Output
D(E_F), states/eV per atom: 0.601
Total magnetic moment, μB per atom: 0.000
Uncorrected formation energy, meV/atom: -1246.2

Entry 8:
A relaxed structure of YCdH3, computed with PBE-GGA.

Lattice parameters (Å, degrees): 3.948 3.948 3.948 90.00 90.00 90.00
Sites, in units of the cell vectors:
Y: 0.000 0.000 0.000
Cd: 0.500 0.500 0.500
H: 0.000 0.500 0.500
H: 0.500 0.000 0.500
H: 0.500 0.500 0.000

Output
D(E_F), states/eV per atom: 0.475
Total magnetic moment, μB per atom: 0.000
ΔE to the lowest computed polymorph, meV per atom: 338

Entry 9:
A relaxed structure of Ca2YZnN, computed with PBE-GGA.

Lattice parameters (Å, degrees): 4.953 4.953 4.687 90.00 90.00 90.00
Sites, in units of the cell vectors:
Ca: 0.000 0.500 0.000
Ca: 0.500 0.000 0.000
Y: 0.000 0.000 0.500
Zn: 0.500 0.500 0.500
N: 0.000 0.000 0.000

Output
D(E_F), states/eV per atom: 0.939
Total magnetic moment, μB per atom: 0.000
Uncorrected formation energy, meV/atom: -601.4

Entry 10:
A relaxed structure of Ca4HgPt3, computed with PBE-GGA.

Lattice parameters (Å, degrees): 10.040 7.184 5.022 90.00 90.00 90.00
Sites, in units of the cell vectors:
Ca: 0.000 0.237 0.000
Ca: 0.000 0.763 0.000
Ca: 0.250 0.237 0.499
Ca: 0.250 0.763 0.499
Ca: 0.500 0.237 0.000
Ca: 0.500 0.763 0.000
Ca: 0.750 0.237 0.501
Ca: 0.750 0.763 0.501
Hg: 0.000 0.500 0.500
Hg: 0.500 0.500 0.500
Pt: 0.000 0.000 0.500
Pt: 0.250 0.000 0.999
Pt: 0.250 0.500 0.000
Pt: 0.500 0.000 0.500
Pt: 0.750 0.000 0.001
Pt: 0.750 0.500 0.000

Output
D(E_F), states/eV per atom: 0.412
Total magnetic moment, μB per atom: 0.000
ΔE_f, meV/atom: -789

Entry 11:
A relaxed structure of LiCu2I6, computed with PBE-GGA.

Lattice parameters (Å, degrees): 8.373 7.343 12.894 90.00 126.66 90.00
Sites, in units of the cell vectors:
Li: 0.000 0.000 0.000
Li: 0.000 0.500 0.500
Cu: 0.372 0.010 0.815
Cu: 0.372 0.490 0.315
Cu: 0.628 0.510 0.685
Cu: 0.628 0.990 0.185
I: 0.034 0.167 0.641
I: 0.034 0.333 0.141
I: 0.321 0.178 0.974
I: 0.321 0.322 0.474
I: 0.343 0.723 0.682
I: 0.343 0.777 0.182
I: 0.657 0.223 0.818
I: 0.657 0.277 0.318
I: 0.679 0.678 0.526
I: 0.679 0.822 0.026
I: 0.966 0.667 0.859
I: 0.966 0.833 0.359

Output
D(E_F), states/eV per atom: 0.777
Total magnetic moment, μB per atom: 0.000
Uncorrected formation energy, meV/atom: -250.9

Entry 12:
A relaxed structure of AcTiZn, computed with PBE-GGA.

Lattice parameters (Å, degrees): 3.632 3.632 11.357 90.00 90.00 90.00
Sites, in units of the cell vectors:
Ac: 0.000 0.000 0.189
Ac: 0.000 0.000 0.811
Ti: 0.500 0.500 0.394
Ti: 0.500 0.500 0.606
Zn: 0.000 0.000 0.500
Zn: 0.500 0.500 0.000

Output
D(E_F), states/eV per atom: 1.335
Total magnetic moment, μB per atom: 0.271
ΔE_f, meV/atom: 113

What did the seventh record say?
A relaxed structure of Sm6Ir2AuSe3, computed with PBE-GGA.

Lattice parameters (Å, degrees): 7.124 7.124 7.598 98.99 98.99 119.95
Sites, in units of the cell vectors:
Sm: 0.067 0.422 0.768
Sm: 0.222 0.222 0.229
Sm: 0.422 0.067 0.768
Sm: 0.578 0.933 0.232
Sm: 0.778 0.778 0.771
Sm: 0.933 0.578 0.232
Ir: 0.168 0.832 0.000
Ir: 0.832 0.168 0.000
Au: 0.500 0.500 0.000
Se: 0.000 0.000 0.500
Se: 0.339 0.661 0.500
Se: 0.661 0.339 0.500

Output
D(E_F), states/eV per atom: 0.601
Total magnetic moment, μB per atom: 0.000
Uncorrected formation energy, meV/atom: -1246.2

Which formula does entry 9 have? Ca2YZnN

Look up the D(E_F) of the third one. 1.228 states/eV per atom

Number 8 is which compound? YCdH3